--- a ---
Entry from Alexandria: a relaxed Li7Mn2Co3O12 crystal (GGA+U).

Structure (CIF):
```
data_Li7Mn2Co3O12
_cell_length_a 5.030
_cell_length_b 5.882
_cell_length_c 7.831
_cell_angle_alpha 78.15
_cell_angle_beta 78.32
_cell_angle_gamma 72.47
_space_group_name_H-M_alt 'P 1'
_space_group_IT_number 1
loop_
_space_group_symop_operation_xyz
'x,y,z'
loop_
_atom_site_label
_atom_site_type_symbol
_atom_site_fract_x
_atom_site_fract_y
_atom_site_fract_z
Li1 Li 0.000 0.000 0.000
Li2 Li 0.001 0.674 0.352
Li3 Li 0.005 0.837 0.675
Li4 Li 0.485 0.832 0.182
Li5 Li 0.488 0.505 0.521
Li6 Li 0.503 0.164 0.836
Li7 Li 0.994 0.337 0.675
Mn1 Mn 0.489 0.337 0.180
Mn2 Mn 0.993 0.165 0.350
Co1 Co 0.490 0.671 0.844
Co2 Co 0.512 0.976 0.527
Co3 Co 0.988 0.520 0.000
O1 O 0.232 0.191 0.113
O2 O 0.236 0.863 0.421
O3 O 0.246 0.646 0.103
O4 O 0.250 0.316 0.413
O5 O 0.255 0.512 0.777
O6 O 0.267 0.987 0.764
O7 O 0.717 0.349 0.945
O8 O 0.735 0.813 0.930
O9 O 0.737 0.477 0.257
O10 O 0.738 0.676 0.588
O11 O 0.747 0.029 0.262
O12 O 0.756 0.168 0.573
```

Properties
The calculation puts the total magnetization at 16.0 μB/f.u.

***

--- b ---
Entry from Alexandria: a relaxed Li7Mn2Co3O12 crystal (GGA+U).

Structure (CIF):
```
data_Li7Mn2Co3O12
_cell_length_a 2.921
_cell_length_b 5.073
_cell_length_c 15.235
_cell_angle_alpha 97.22
_cell_angle_beta 94.24
_cell_angle_gamma 104.44
_space_group_name_H-M_alt 'P 1'
_space_group_IT_number 1
loop_
_space_group_symop_operation_xyz
'x,y,z'
loop_
_atom_site_label
_atom_site_type_symbol
_atom_site_fract_x
_atom_site_fract_y
_atom_site_fract_z
Li1 Li 0.000 0.000 0.000
Li2 Li 0.001 0.536 0.480
Li3 Li 0.323 0.841 0.828
Li4 Li 0.380 0.350 0.333
Li5 Li 0.610 0.659 0.644
Li6 Li 0.668 0.168 0.162
Li7 Li 0.669 0.927 0.404
Mn1 Mn 0.651 0.415 0.915
Mn2 Mn 0.965 0.244 0.742
Co1 Co 0.013 0.759 0.245
Co2 Co 0.318 0.099 0.556
Co3 Co 0.351 0.593 0.080
O1 O 0.013 0.637 0.350
O2 O 0.035 0.858 0.123
O3 O 0.341 0.993 0.708
O4 O 0.344 0.236 0.454
O5 O 0.351 0.697 0.958
O6 O 0.378 0.507 0.199
O7 O 0.603 0.505 0.788
O8 O 0.649 0.005 0.276
O9 O 0.650 0.311 0.036
O10 O 0.688 0.827 0.535
O11 O 0.950 0.137 0.865
O12 O 0.972 0.360 0.630
```

Properties
The calculation puts the total magnetization at 14.0 μB/f.u.

***

It is b that is the least stable of them.